one | A relaxed ScCrHg2 crystal, computed with PBE-GGA.

Properties
Its space group is No. 160.

```
4
Lattice="-3.372 -6.291 5.950 -1.028 -8.096 4.444 -0.224 -6.120 6.988" Properties=species:S:1:pos:R:3 pbc="T T T"
Cr -3.472 -15.396 13.050
Hg -0.027 -0.118 0.100
Hg -1.146 -5.082 4.307
Sc -2.292 -10.163 8.615
```

---

two | A relaxed ScCrHg2 crystal, computed with PBE-GGA.

Properties
Its space group is No. 216.

```
4
Lattice="4.848 0.000 0.000 2.424 4.198 0.000 2.424 1.399 3.958" Properties=species:S:1:pos:R:3 pbc="T T T"
Cr 4.848 2.799 1.979
Hg 0.000 0.000 0.000
Hg 2.424 1.399 0.990
Sc 7.271 4.198 2.969
```

---

The winner here is two, beating the second structure by 0.138 eV/atom.

---

one | A relaxed CrHgSe crystal, computed with PBE-GGA.

Properties
Its space group is No. 12.

```
6
Lattice="-3.546 -1.738 -1.024 -0.728 -0.830 3.928 -4.586 8.014 1.139" Properties=species:S:1:pos:R:3 pbc="T T T"
Se -7.177 4.913 3.182
Se -1.683 0.533 0.860
Hg -3.726 2.950 3.259
Hg -5.134 2.496 0.784
Cr -1.433 -1.057 2.689
Cr -2.841 -1.511 0.214
```

---

two | A relaxed CrHgSe crystal, computed with PBE-GGA.

Properties
Its space group is No. 156.

```
3
Lattice="3.674 0.000 0.000 -1.837 3.182 0.000 0.000 0.000 5.872" Properties=species:S:1:pos:R:3 pbc="T T T"
Cr 0.000 0.000 4.166
Hg 0.000 2.121 2.133
Se 1.837 1.061 5.446
```

---

The winner here is one, beating the second structure by 0.058 eV/atom.

---

one | A relaxed CrHgSe crystal, computed with PBE-GGA.

Properties
Its space group is No. 107.

```
3
Lattice="6.914 -0.015 0.016 6.065 3.320 0.028 0.849 0.205 3.328" Properties=species:S:1:pos:R:3 pbc="T T T"
Cr 12.320 3.136 0.222
Hg 8.936 2.272 1.138
Se 5.551 1.407 2.055
```

---

two | A relaxed CrHgSe crystal, computed with PBE-GGA.

Properties
Its space group is No. 216.

```
3
Lattice="-1.738 -2.611 -3.356 0.694 -4.541 0.030 -3.492 -2.851 0.883" Properties=species:S:1:pos:R:3 pbc="T T T"
Cr -1.134 -2.501 -0.611
Hg 0.000 0.000 0.000
Se -2.268 -5.002 -1.222
```

---

The winner here is one, beating the second structure by 0.105 eV/atom.